Density functional theory data (GGA-PBE) for an optimized crystal structure of Pm2Ga2Ru2C.

Unit cell a=4.1781 b=6.0153 c=6.1020 alpha=73.30 beta=69.98 gamma=69.68
Closest atoms and distances in Å follow each position.
Sites, in units of the cell vectors:
Ga: 0.1555 0.3916 0.2974  3 Ru 2.50-2.54
Ga: 0.8445 0.6084 0.7026  3 Ru 2.50-2.54
Pm: 0.5607 0.1694 0.7092  2 C 2.73
Pm: 0.4393 0.8306 0.2908  2 C 2.73
Ru: 0.8030 0.3027 0.0913  1 C 1.88
Ru: 0.1970 0.6973 0.9087  1 C 1.88
C: 0.0000 0.0000 0.0000  2 Ru 1.88

* formation energy from the elements: -0.532 eV/atom
* symmetry: C2/m
* M_tot: 0.000 μB per cell